Entry from Alexandria: a relaxed KBa2NpS5 crystal (GGA-PBE).

Results
Spin magnetization = 2.0 μB per formula unit
Calculated density = 4.08 Mg/m³
D(E_F) = 9.4 states/eV/cell
Uncorrected formation energy = -1592 meV per atom

a = 5.114 Å, b = 7.617 Å, c = 14.874 Å
α = 90.00°, β = 90.00°, γ = 90.00°
Space group Immm (No. 71)
Inequivalent atoms, fractional coordinates:
K1 0.000 0.000 0.000 [2 per cell]
Ba1 0.000 0.500 0.211 [4 per cell]
Np1 0.000 0.000 0.500 [2 per cell]
S1 0.000 0.232 0.371 [8 per cell]
S2 0.000 0.500 0.000 [2 per cell]